Entry from Alexandria via LeMat-Bulk: a relaxed TlPPbS4 crystal (GGA-PBEsol).

Cell lengths 12.3202, 6.4678, 8.4839 Å; angles 90.00, 90.00, 90.00 degrees
Space group Pnma (No. 62)
Inequivalent atoms, fractional coordinates:
Tl  0.1094  0.2500  0.1250
P  0.1524  0.7500  0.3724
Pb  0.1295  0.2500  0.6076
S  0.0507  0.7500  0.1819
S  0.0679  0.7500  0.5812
S  0.2472  0.5019  0.8629

## Properties
- formation energy without anion corrections (eV/atom) = -0.4392
- energy (eV for the cell shown) = -132.13

---

Entry from Alexandria via LeMat-Bulk: a relaxed CaHf3Ge crystal (GGA-PBEsol).

Cell lengths 4.8846, 4.8846, 4.8846 Å; angles 90.00, 90.00, 90.00 degrees
Space group Pm-3m (No. 221)
Inequivalent atoms, fractional coordinates:
Ca  0.0000  0.0000  0.0000
Hf  0.0000  0.0000  0.5000
Ge  0.5000  0.5000  0.5000

## Properties
- energy of formation (kcal/mol of atoms) = 42.18
- E above lowest polymorph (meV per atom) = 1467
- energy (eV for the cell shown) = -29.44

---

Entry from Alexandria via LeMat-Bulk: a relaxed Ba2CoIr crystal (GGA-PBEsol).

Cell lengths 4.1944, 4.1944, 25.4492 Å; angles 90.00, 90.00, 120.00 degrees
Space group R3m (No. 160, hexagonal axes)
Inequivalent atoms, fractional coordinates:
Ba  0.0000  0.0000  0.0000
Ba  0.0000  0.0000  0.1667
Co  0.0000  0.0000  0.7502
Ir  0.0000  0.0000  0.4166

## Properties
- energy of formation (kcal/mol of atoms) = 0.19
- E above lowest polymorph (meV per atom) = 0
- energy (eV for the cell shown) = -65.48

---

Entry from Alexandria via LeMat-Bulk: a relaxed SiHgTe2 crystal (GGA-PBEsol).

Cell lengths 4.3356, 4.3356, 24.7283 Å; angles 90.00, 90.00, 120.00 degrees
Space group R-3m (No. 166, hexagonal axes)
Inequivalent atoms, fractional coordinates:
Si  0.0000  0.0000  0.0000
Hg  0.0000  0.0000  0.5000
Te  0.0000  0.0000  0.0986

## Properties
- formation energy without anion corrections (eV/atom) = 0.5468
- E above lowest polymorph (meV per atom) = 538
- energy (eV for the cell shown) = -33.54

---

Entry from Alexandria via LeMat-Bulk: a relaxed LiSiW2 crystal (GGA-PBEsol).

Cell lengths 3.2441, 4.1954, 8.1583 Å; angles 90.00, 90.00, 90.00 degrees
Space group Immm (No. 71)
Inequivalent atoms, fractional coordinates:
Li  0.0000  0.0000  0.0000
Si  0.0000  0.0000  0.5000
W  0.0000  0.5000  0.2492

## Properties
- formation energy without anion corrections (eV/atom) = 0.1679
- energy (eV for the cell shown) = -69.31

---

Entry from Alexandria via LeMat-Bulk: a relaxed Cd2HgBr crystal (GGA-PBEsol).

Cell lengths 4.1649, 4.1649, 11.4611 Å; angles 90.00, 90.00, 90.00 degrees
Space group I-4m2 (No. 119)
Inequivalent atoms, fractional coordinates:
Cd  0.0000  0.0000  0.0000
Cd  0.0000  0.5000  0.2500
Hg  0.0000  0.0000  0.5000
Br  0.0000  0.5000  0.7500

## Properties
- formation energy without anion corrections (eV/atom) = -0.0662
- E above lowest polymorph (meV per atom) = 64
- energy (eV for the cell shown) = -10.19

---

Entry from Alexandria via LeMat-Bulk: a relaxed SrSbTe3 crystal (GGA-PBEsol).

Cell lengths 5.6932, 5.6932, 5.6932 Å; angles 90.00, 90.00, 90.00 degrees
Space group Pm-3m (No. 221)
Inequivalent atoms, fractional coordinates:
Sr  0.0000  0.0000  0.0000
Sb  0.5000  0.5000  0.5000
Te  0.0000  0.5000  0.5000

## Properties
- formation energy without anion corrections (eV/atom) = -0.3490
- energy (eV for the cell shown) = -18.72

---

Entry from Alexandria via LeMat-Bulk: a relaxed Fe2AsPb crystal (GGA-PBEsol).

Cell lengths 6.2959, 6.2959, 6.2959 Å; angles 90.00, 90.00, 90.00 degrees
Space group Fm-3m (No. 225)
Inequivalent atoms, fractional coordinates:
Fe  0.2500  0.2500  0.2500
As  0.0000  0.0000  0.0000
Pb  0.0000  0.0000  0.5000

## Properties
- energy of formation (kcal/mol of atoms) = 11.81
- E above lowest polymorph (meV per atom) = 311
- energy (eV for the cell shown) = -99.94

---

Entry from Alexandria via LeMat-Bulk: a relaxed Y2Co2O7 crystal (GGA-PBEsol).

Cell lengths 9.7517, 9.7517, 9.7517 Å; angles 90.00, 90.00, 90.00 degrees
Space group Fd-3m (No. 227, origin choice 2)
Inequivalent atoms, fractional coordinates:
Y  0.0000  0.0000  0.0000
Co  0.0000  0.0000  0.5000
O  0.0775  0.3750  0.8750
O  0.1250  0.1250  0.1250

## Properties
- formation energy without anion corrections (eV/atom) = -2.1808
- energy (eV for the cell shown) = -718.82

---

Entry from Alexandria via LeMat-Bulk: a relaxed AsRuW2 crystal (GGA-PBEsol).

Cell lengths 3.6801, 3.6801, 4.4112 Å; angles 90.00, 90.00, 90.00 degrees
Space group P4/mmm (No. 123)
Inequivalent atoms, fractional coordinates:
As  0.0000  0.0000  0.0000
Ru  0.5000  0.5000  0.0000
W  0.0000  0.5000  0.5000

## Properties
- energy of formation (kcal/mol of atoms) = 9.47
- energy (eV for the cell shown) = -41.25

---

Entry from Alexandria via LeMat-Bulk: a relaxed Zr2SbCl crystal (GGA-PBEsol).

Cell lengths 3.2512, 3.2512, 26.3786 Å; angles 90.00, 90.00, 120.00 degrees
Space group R-3m (No. 166, hexagonal axes)
Inequivalent atoms, fractional coordinates:
Zr  0.0000  0.0000  0.2448
Sb  0.0000  0.0000  0.0000
Cl  0.0000  0.0000  0.5000

## Properties
- formation energy without anion corrections (eV/atom) = -0.5584
- energy (eV for the cell shown) = -80.94

---

Entry from Alexandria via LeMat-Bulk: a relaxed LiSmW2O8 crystal (GGA-PBEsol).

Cell lengths 5.1917, 5.1917, 11.0522 Å; angles 90.00, 90.00, 90.00 degrees
Space group I-4 (No. 82)
Inequivalent atoms, fractional coordinates:
Li  0.0000  0.0000  0.0000
Sm  0.0000  0.5000  0.7500
W  0.0000  0.0000  0.5000
W  0.0000  0.5000  0.2500
O  0.1612  0.2559  0.1619
O  0.1606  0.7598  0.5902

## Properties
- formation energy without anion corrections (eV/atom) = -2.4815
- E above lowest polymorph (meV per atom) = 39
- energy (eV for the cell shown) = -212.89

---

Number 1: spin magnetization 0.0 μB/cell, D(E_F) 0.000 states/eV/cell. Number 2: spin magnetization 0.0 μB/cell, D(E_F) 6.691 states/eV/cell. Number 3: spin magnetization 5.6 μB/cell, D(E_F) 11.186 states/eV/cell. Number 4: spin magnetization 0.0 μB/cell, D(E_F) 5.211 states/eV/cell. Number 5: spin magnetization 0.0 μB/cell, D(E_F) 3.740 states/eV/cell. Number 6: spin magnetization 0.0 μB/cell, D(E_F) 4.145 states/eV/cell. Number 7: spin magnetization 0.0 μB/cell, D(E_F) 3.616 states/eV/cell. Number 8: spin magnetization 17.5 μB/cell, D(E_F) 20.111 states/eV/cell. Number 9: spin magnetization 16.1 μB/cell, D(E_F) 39.559 states/eV/cell. Number 10: spin magnetization 0.0 μB/cell, D(E_F) 3.180 states/eV/cell. Number 11: spin magnetization 0.0 μB/cell, D(E_F) 11.318 states/eV/cell. Number 12: spin magnetization 0.0 μB/cell, D(E_F) 0.000 states/eV/cell.